(1)
HfVPt2 after structural relaxation. Source: Alexandria via LeMat-Bulk, functional PBE.

Unit cell a=4.5853 b=4.5853 c=4.5853 alpha=60.00 beta=60.00 gamma=60.00
Closest atoms and distances in Å follow each position.
Fractional coordinates of all 4 atoms:
Hf1 0.5000 0.5000 0.5000  8 Pt 2.81
Pt1 0.2500 0.2500 0.2500  4 Hf 2.81, 4 V 2.81
Pt2 0.7500 0.7500 0.7500  4 V 2.81, 4 Hf 2.81
V1 0.0000 0.0000 0.0000  8 Pt 2.81

Results
- Total magnetization: 2.78 μB/f.u.
- Volume: 68 Å³ per cell
- Space group: Fm-3m

=====

(2)
HfVPt2 after structural relaxation. Source: Alexandria via LeMat-Bulk, functional PBE.

Unit cell a=4.0083 b=4.0083 c=9.3613 alpha=77.64 beta=77.64 gamma=90.00
Closest atoms and distances in Å follow each position.
Fractional coordinates of all 8 atoms:
V1 0.2500 0.7500 0.5000  4 Pt 2.62, 4 Hf 2.83
V2 0.5000 0.5000 0.0000  4 Pt 2.62, 4 Hf 2.83
Hf1 0.0000 0.0000 0.0000  4 Pt 2.66, 4 V 2.83
Hf2 0.7500 0.2500 0.5000  4 Pt 2.66, 4 V 2.83
Pt1 0.1378 0.6250 0.2500  2 V 2.62, 2 Hf 2.66, 4 Pt 2.76-2.91
Pt2 0.8750 0.8622 0.7500  2 V 2.62, 2 Hf 2.66, 4 Pt 2.76-2.91
Pt3 0.6122 0.1250 0.2500  2 V 2.62, 2 Hf 2.66, 4 Pt 2.76-2.91
Pt4 0.3750 0.3878 0.7500  2 V 2.62, 2 Hf 2.66, 4 Pt 2.76-2.91

Results
- Total magnetization: 0.01 μB/f.u.
- Volume: 143 Å³ per cell
- Space group: I-42d

=====

(3)
HfVPt2 after structural relaxation. Source: Alexandria via LeMat-Bulk, functional PBE.

Unit cell a=3.9757 b=4.0390 c=4.0390 alpha=90.00 beta=90.00 gamma=90.00
Closest atoms and distances in Å follow each position.
Fractional coordinates of all 4 atoms:
Hf1 0.5000 0.0000 0.0000  8 Pt 2.83, 4 V 2.86
Pt1 0.0000 0.5000 0.0000  4 V 2.83, 4 Hf 2.83, 4 Pt 2.86
Pt2 0.0000 0.0000 0.5000  4 V 2.83, 4 Hf 2.83, 4 Pt 2.86
V1 0.5000 0.5000 0.5000  8 Pt 2.83, 4 Hf 2.86

Results
- Total magnetization: 1.75 μB/f.u.
- Volume: 65 Å³ per cell
- Space group: P4/mmm

=====

Of them, (2) has the lowest stability.